# SrCeEuCrO6

A relaxed structure of SrCeEuCrO6 (GGA+U, Alexandria via LeMat-Bulk).

## Properties
Energy: -8.15 eV per atom
Volume: 14.2 A^3/atom
Magnetic moment: 9.00 μB per formula unit

a = 8.2806 Å, b = 8.2806 Å, c = 8.2806 Å
α = 90.00°, β = 90.00°, γ = 90.00°
Space group F-43m (No. 216)
Inequivalent atoms, fractional coordinates:
Sr1 0.0000 0.0000 0.0000 (multiplicity 4)
Ce1 0.2500 0.2500 0.7500 (multiplicity 4)
Eu1 0.0000 0.0000 0.5000 (multiplicity 4)
Cr1 0.2500 0.2500 0.2500 (multiplicity 4)
O1 0.0146 0.2500 0.2500 (multiplicity 24)